Entry 1:
Below is Pd3Ru after structural relaxation, with properties calculated at the GGA-PBE level.

Output
SG: Imm2
DFT formation energy (kJ per mole of atoms): 17
VASP energy (eV/cell): -24.140

abc: 5.2968 5.2968 5.2968
angles: 149.78 63.14 126.00
Atoms (fractional coordinates):
Pd 0.0000 0.0000 0.0000
Pd 0.4150 0.6596 0.7554
Pd 0.9041 0.6596 0.2446
Ru 0.4907 0.9907 0.5000


Entry 2:
Below is Si2AsBrN after structural relaxation, with properties calculated at the GGA-PBE level.

Output
SG: P4/mmm
ΔE_f (raw) (eV/atom): 1.76
VASP energy (eV/cell): -16.704

abc: 4.9377 4.9377 5.4770
angles: 90.00 90.00 90.00
Atoms (fractional coordinates):
Si 0.0000 0.5000 0.0000
Si 0.5000 0.0000 0.0000
As 0.0000 0.0000 0.0000
Br 0.0000 0.0000 0.5000
N 0.5000 0.5000 0.5000


Entry 3:
Below is MnAgSb2 after structural relaxation, with properties calculated at the GGA-PBE level.

Output
SG: Cm
ΔE_f (raw) (eV/atom): 0.21
VASP energy (eV/cell): -19.434

abc: 5.6045 5.6045 5.2452
angles: 103.41 103.41 32.56
Atoms (fractional coordinates):
Mn 0.0000 0.0000 0.0000
Ag 0.7114 0.7114 0.3427
Sb 0.2594 0.2594 0.8855
Sb 0.4715 0.4715 0.4914


Entry 4:
Below is KCd2Cu after structural relaxation, with properties calculated at the GGA-PBE level.

Output
SG: P2/m
DFT formation energy (kJ per mole of atoms): 29
VASP energy (eV/cell): -5.833
Energy above the most stable polymorph in this dataset (meV per atom): 266

abc: 4.6255 4.5100 5.0329
angles: 90.00 90.76 90.00
Atoms (fractional coordinates):
K 0.0000 0.0000 0.0000
Cd 0.0000 0.5000 0.5000
Cd 0.5000 0.0000 0.5000
Cu 0.5000 0.5000 0.0000


Question: Look up the VASP energy of the second one.
Answer: -16.704 eV/cell


Question: The lowest VASP energy belongs to which entry?
Answer: Pd3Ru


Question: Among the records above, which one has the highest VASP energy?
Answer: KCd2Cu